The following is a PBE-GGA calculation of a relaxed structure of TaV2NiW, from the Alexandria database.

Summary:
* VASP energy: -38.84 eV/cell
* formation energy: 1997.2 meV/atom
* magnetic moment: 0.36 μB/atom

a = 4.547 Å, b = 4.780 Å, c = 4.547 Å
α = 90.00°, β = 90.00°, γ = 90.00°
Site moments in Bohr magnetons follow the coordinates.
Positions (direct):
Ni  0.500  0.500  0.500  0.57
V  0.000  0.000  0.500  0.48
V  0.500  0.000  0.000  0.75
W  0.000  0.500  0.000  -0.13
Ta  0.000  0.000  0.000  -0.03


The following is a PBE-GGA calculation of a relaxed structure of TaVNiW, from the Alexandria database.

Summary:
* VASP energy: -39.68 eV/cell
* formation energy: 6.0 meV/atom
* magnetic moment: 0.00 μB/atom

a = 4.378 Å, b = 4.378 Å, c = 4.378 Å
α = 60.00°, β = 60.00°, γ = 60.00°
Positions (direct):
Ni  0.500  0.500  0.500
V  0.250  0.250  0.250
W  0.000  0.000  0.000
Ta  0.750  0.750  0.750